# MgHgP2, relaxed, DFT PBE-GGA
# DFT total energy: -2.87 eV/atom
# Polymorph energy (0 for the lowest one): 364 meV per atom
# ΔE_f: 307 meV per atom
# DOS(E_F): 3.315 states/eV per cell
data_MgHgP2
_cell_length_a 4.246
_cell_length_b 4.246
_cell_length_c 8.345
_cell_angle_alpha 90.00
_cell_angle_beta 90.00
_cell_angle_gamma 90.00
_space_group_name_H-M_alt 'I 4/m m m'
_space_group_IT_number 139
_space_group_name_Hall '-I 4 2'
loop_
_atom_site_label
_atom_site_type_symbol
_atom_site_fract_x
_atom_site_fract_y
_atom_site_fract_z
Mg1 Mg 0.000 0.000 0.000
Hg1 Hg 0.000 0.000 0.500
P1 P 0.000 0.500 0.250